A crystal of Ir3Se4 relaxed with PBEsol, computed with SCAN.

## Properties
* VASP energy: -41.550 eV/atom
* E_form (uncorrected): 0.39 eV per atom
* spin magnetization: 0.00 μB per atom
* crystal system: tetragonal

a = 10.5958 Å, b = 10.5958 Å, c = 10.5958 Å
α = 161.37°, β = 161.37°, γ = 26.46°
Fractional coordinates of all 7 atoms:
Ir: 0.0000 0.0000 0.0000
Ir: 0.2894 0.2894 0.0000
Ir: 0.7106 0.7106 0.0000
Se: 0.1721 0.1721 0.0000
Se: 0.4355 0.4355 0.0000
Se: 0.5645 0.5645 0.0000
Se: 0.8279 0.8279 0.0000